Entry 1:
VASP calculation (PBE) on LiGd2Tl after structural relaxation.

## Properties
- energy (eV per atom) = -7.9021
- DOS(E_F) (states/eV per atom) = 1.7466
- space group = R-3m, No. 166

Geometry as POSCAR:
```
LiGd2Tl
1.0
-0.893 2.741 -1.895
-2.933 -0.041 -1.816
-7.058 5.403 8.000
Tl Gd Li
1 2 1
Direct
0.000 0.000 0.000 Tl
0.092 0.092 0.725 Gd
0.908 0.908 0.275 Gd
0.500 0.500 0.500 Li
```

=====

Entry 2:
VASP calculation (PBE) on LiGdTl2 after structural relaxation.

## Properties
- energy (eV per atom) = -5.4914
- DOS(E_F) (states/eV per atom) = 0.6288
- space group = P4/mmm, No. 123

Geometry as POSCAR:
```
LiGdTl2
1.0
3.873 0.000 0.000
0.000 5.147 0.000
0.000 0.000 5.147
Tl Gd Li
2 1 1
Direct
0.000 0.000 0.500 Tl
0.000 0.500 0.000 Tl
0.500 0.000 0.000 Gd
0.500 0.500 0.500 Li
```

=====

Entry 3:
VASP calculation (PBE) on LiGdTl3 after structural relaxation.

## Properties
- energy (eV per atom) = -4.6667
- DOS(E_F) (states/eV per atom) = 1.1610
- space group = Pm-3m, No. 221

Geometry as POSCAR:
```
LiGdTl3
1.0
5.078 0.000 0.000
0.000 5.078 0.000
0.000 0.000 5.078
Tl Gd Li
3 1 1
Direct
0.000 0.500 0.000 Tl
0.000 0.000 0.500 Tl
0.500 0.000 0.000 Tl
0.500 0.500 0.500 Gd
0.000 0.000 0.000 Li
```

=====

Entry 4:
VASP calculation (PBE) on LiGdTm after structural relaxation.

## Properties
- polymorph energy (0 for the lowest one) (eV per atom) = 0.000
- energy (eV per atom) = -6.7367
- DOS(E_F) (states/eV per atom) = 1.2378
- space group = I4mm, No. 107

Geometry as POSCAR:
```
LiGdTm
1.0
-2.674 1.686 1.813
-1.747 -3.176 0.376
5.195 -0.265 4.245
Gd Tm Li
1 1 1
Direct
0.324 0.324 0.648 Gd
0.013 0.013 0.026 Tm
0.663 0.663 0.326 Li
```

=====

Entry 5:
VASP calculation (PBE) on LiGdTm after structural relaxation.

## Properties
- polymorph energy (0 for the lowest one) (eV per atom) = 0.034
- energy (eV per atom) = -6.7025
- DOS(E_F) (states/eV per atom) = 1.2721
- space group = P3m1, No. 156

Geometry as POSCAR:
```
LiGdTm
1.0
-0.178 -1.200 3.233
1.019 -2.081 -2.560
7.890 2.287 1.283
Gd Tm Li
1 1 1
Direct
0.667 0.333 0.333 Gd
0.333 0.667 0.670 Tm
0.000 0.000 0.997 Li
```

=====

Entry 6:
VASP calculation (PBE) on LiGdYTm after structural relaxation.

## Properties
- energy (eV per atom) = -6.5711
- DOS(E_F) (states/eV per atom) = 0.8857
- space group = F-43m, No. 216

Geometry as POSCAR:
```
LiGdYTm
1.0
-1.777 0.774 5.113
-5.238 -0.953 1.248
-1.331 -4.295 3.112
Gd Y Tm Li
1 1 1 1
Direct
0.250 0.250 0.250 Gd
0.750 0.750 0.750 Y
0.500 0.500 0.500 Tm
0.000 0.000 0.000 Li
```

=====

Entry 7:
VASP calculation (PBE) on LiGdTmZn after structural relaxation.

## Properties
- energy (eV per atom) = -5.5551
- DOS(E_F) (states/eV per atom) = 1.0323
- space group = F-43m, No. 216

Geometry as POSCAR:
```
LiGdTmZn
1.0
5.094 0.000 0.000
2.547 4.411 0.000
2.547 1.470 4.159
Gd Zn Tm Li
1 1 1 1
Direct
0.250 0.250 0.250 Gd
0.000 0.000 0.000 Zn
0.750 0.750 0.750 Tm
0.500 0.500 0.500 Li
```

=====

Entry 8:
VASP calculation (PBE) on LiGd2V after structural relaxation.

## Properties
- polymorph energy (0 for the lowest one) (eV per atom) = 0.000
- energy (eV per atom) = -9.5884
- DOS(E_F) (states/eV per atom) = 0.7439
- space group = P4/mmm, No. 123

Geometry as POSCAR:
```
LiGd2V
1.0
-2.133 2.141 -1.925
1.031 -1.668 -2.998
-5.899 -5.133 0.827
Gd Li V
2 1 1
Direct
0.000 0.000 0.780 Gd
0.000 0.000 0.220 Gd
0.500 0.500 0.500 Li
0.500 0.500 0.000 V
```

=====

Entry 9:
VASP calculation (PBE) on LiGd2V after structural relaxation.

## Properties
- polymorph energy (0 for the lowest one) (eV per atom) = 0.419
- energy (eV per atom) = -9.1692
- DOS(E_F) (states/eV per atom) = 1.2858
- space group = R-3m, No. 166

Geometry as POSCAR:
```
LiGd2V
1.0
3.245 0.000 0.000
1.622 2.810 0.000
1.622 0.937 11.225
Gd Li V
2 1 1
Direct
0.080 0.080 0.760 Gd
0.920 0.920 0.240 Gd
0.500 0.500 0.500 Li
0.000 0.000 0.000 V
```

=====

Entry 10:
VASP calculation (PBE) on LiGdY2 after structural relaxation.

## Properties
- polymorph energy (0 for the lowest one) (eV per atom) = 0.206
- energy (eV per atom) = -6.9534
- DOS(E_F) (states/eV per atom) = 1.2545
- space group = R-3m, No. 166

Geometry as POSCAR:
```
LiGdY2
1.0
3.417 0.000 0.000
1.709 2.959 0.000
1.709 0.986 12.021
Y Gd Li
2 1 1
Direct
0.092 0.092 0.724 Y
0.908 0.908 0.276 Y
0.000 0.000 0.000 Gd
0.500 0.500 0.500 Li
```

=====

Entry 11:
VASP calculation (PBE) on LiGdY2 after structural relaxation.

## Properties
- polymorph energy (0 for the lowest one) (eV per atom) = 0.000
- energy (eV per atom) = -7.1591
- DOS(E_F) (states/eV per atom) = 1.5992
- space group = P4/mmm, No. 123

Geometry as POSCAR:
```
LiGdY2
1.0
-1.587 1.840 2.690
-0.521 -3.096 1.810
7.871 0.992 3.964
Y Gd Li
2 1 1
Direct
0.000 0.000 0.781 Y
0.000 0.000 0.219 Y
0.500 0.500 0.500 Gd
0.500 0.500 0.000 Li
```

=====

Entry 12:
VASP calculation (PBE) on LiGd2Y after structural relaxation.

## Properties
- polymorph energy (0 for the lowest one) (eV per atom) = 0.116
- energy (eV per atom) = -8.9478
- DOS(E_F) (states/eV per atom) = 1.2219
- space group = Fm-3m, No. 225

Geometry as POSCAR:
```
LiGd2Y
1.0
5.531 0.000 0.000
2.765 4.790 0.000
2.765 1.597 4.516
Y Gd Li
1 2 1
Direct
0.500 0.500 0.500 Y
0.250 0.250 0.250 Gd
0.750 0.750 0.750 Gd
0.000 0.000 0.000 Li
```

=====

Entry 13:
VASP calculation (PBE) on Li4GdY after structural relaxation.

## Properties
- energy (eV per atom) = -4.5894
- DOS(E_F) (states/eV per atom) = 1.1479
- space group = F-43m, No. 216

Geometry as POSCAR:
```
Li4GdY
1.0
5.869 0.000 0.000
2.935 5.083 0.000
2.935 1.694 4.792
Y Gd Li
1 1 4
Direct
0.000 0.000 0.000 Y
0.250 0.250 0.250 Gd
0.625 0.625 0.124 Li
0.625 0.124 0.625 Li
0.625 0.625 0.625 Li
0.124 0.625 0.625 Li
```

=====

Entry 14:
VASP calculation (PBE) on LiGd2Y after structural relaxation.

## Properties
- polymorph energy (0 for the lowest one) (eV per atom) = 0.000
- energy (eV per atom) = -9.0642
- DOS(E_F) (states/eV per atom) = 1.5768
- space group = P4/mmm, No. 123

Geometry as POSCAR:
```
LiGd2Y
1.0
-1.201 3.397 0.615
-3.341 -1.308 0.700
2.089 -0.797 8.485
Y Gd Li
1 2 1
Direct
0.500 0.500 0.500 Y
0.000 0.000 0.778 Gd
0.000 0.000 0.222 Gd
0.500 0.500 0.000 Li
```

=====

Entry 15:
VASP calculation (PBE) on LiGdY2 after structural relaxation.

## Properties
- polymorph energy (0 for the lowest one) (eV per atom) = 0.117
- energy (eV per atom) = -7.0419
- DOS(E_F) (states/eV per atom) = 1.1873
- space group = Fm-3m, No. 225

Geometry as POSCAR:
```
LiGdY2
1.0
5.508 0.000 0.000
2.754 4.770 0.000
2.754 1.590 4.497
Y Gd Li
2 1 1
Direct
0.250 0.250 0.250 Y
0.750 0.750 0.750 Y
0.000 0.000 0.000 Gd
0.500 0.500 0.500 Li
```

=====

Entry 16:
VASP calculation (PBE) on LiGd2Y after structural relaxation.

## Properties
- polymorph energy (0 for the lowest one) (eV per atom) = 0.103
- energy (eV per atom) = -8.9614
- DOS(E_F) (states/eV per atom) = 1.2357
- space group = R-3m, No. 166

Geometry as POSCAR:
```
LiGd2Y
1.0
-1.178 -3.161 0.886
-0.934 -2.270 -2.477
10.666 -6.139 -0.850
Y Gd Li
1 2 1
Direct
0.500 0.500 0.500 Y
0.088 0.088 0.735 Gd
0.912 0.912 0.265 Gd
0.000 0.000 0.000 Li
```

=====

Entry 17:
VASP calculation (PBE) on LiGdY2 after structural relaxation.

## Properties
- polymorph energy (0 for the lowest one) (eV per atom) = 0.085
- energy (eV per atom) = -7.0745
- DOS(E_F) (states/eV per atom) = 1.5545
- space group = P4/mmm, No. 123

Geometry as POSCAR:
```
LiGdY2
1.0
-0.048 -3.392 1.584
3.298 1.894 4.153
-4.564 1.449 2.964
Y Gd Li
2 1 1
Direct
0.000 0.000 0.500 Y
0.000 0.500 0.000 Y
0.500 0.500 0.500 Gd
0.500 0.000 0.000 Li
```

=====

Entry 18:
VASP calculation (PBE) on LiGdY after structural relaxation.

## Properties
- polymorph energy (0 for the lowest one) (eV per atom) = 0.044
- energy (eV per atom) = -7.3695
- DOS(E_F) (states/eV per atom) = 1.3093
- space group = P3m1, No. 156

Geometry as POSCAR:
```
LiGdY
1.0
-1.383 2.077 2.458
1.918 -2.778 0.932
6.892 4.721 -0.111
Y Gd Li
1 1 1
Direct
0.333 0.667 0.671 Y
0.667 0.333 0.330 Gd
0.000 0.000 0.999 Li
```

=====

Entry 19:
VASP calculation (PBE) on LiGdY after structural relaxation.

## Properties
- polymorph energy (0 for the lowest one) (eV per atom) = 0.000
- energy (eV per atom) = -7.4138
- DOS(E_F) (states/eV per atom) = 1.2747
- space group = I4mm, No. 107

Geometry as POSCAR:
```
LiGdY
1.0
3.682 0.000 0.000
0.000 3.682 0.000
-1.841 -1.841 6.254
Y Gd Li
1 1 1
Direct
0.013 0.013 0.025 Y
0.322 0.322 0.644 Gd
0.665 0.665 0.330 Li
```

=====

Entry 20:
VASP calculation (PBE) on LiGdZn after structural relaxation.

## Properties
- polymorph energy (0 for the lowest one) (eV per atom) = 0.024
- energy (eV per atom) = -5.8657
- DOS(E_F) (states/eV per atom) = 0.6831
- space group = I4mm, No. 107

Geometry as POSCAR:
```
LiGdZn
1.0
3.607 0.000 0.000
0.000 3.607 0.000
-1.803 -1.803 4.952
Zn Gd Li
1 1 1
Direct
0.634 0.634 0.267 Zn
0.958 0.958 0.915 Gd
0.259 0.259 0.518 Li
```

=====

Computed values of calculated formation energy (unit: eV/atom) for the preceding records, in sequence: 0.208 -0.310 -0.048 0.085 0.120 0.162 -0.120 0.210 0.629 0.277 0.072 0.187 0.111 0.071 0.189 0.174 0.156 0.117 0.072 -0.109.